20
Lattice="5.995 0.000 0.000 0.000 7.673 0.000 0.000 0.000 5.481" Properties=species:S:1:pos:R:3 comment="MnBiO3 (PBE+U, relaxed)" dft_energy_ev_per_atom=-6.64 space_group="No. 62" pbc="T T T"
Mn 0.000 0.000 0.000
Mn 0.000 3.836 0.000
Mn 2.997 0.000 2.740
Mn 2.997 3.836 2.740
Bi 0.422 1.918 2.675
Bi 2.575 5.755 5.415
Bi 3.420 1.918 0.065
Bi 5.572 5.755 2.805
O 0.190 5.755 0.556
O 1.064 4.191 3.870
O 1.064 7.319 3.870
O 1.933 0.354 1.130
O 1.933 3.482 1.130
O 2.807 1.918 3.296
O 3.187 5.755 2.184
O 4.062 4.191 4.351
O 4.062 7.319 4.351
O 4.930 0.354 1.610
O 4.930 3.482 1.610
O 5.804 1.918 4.925